1.
Entry from Alexandria: a relaxed structure of Li2Sm2MgCd5 (PBE-GGA).

a b c (Å): 10.5864 10.5864 4.0077
angles (deg): 90.00 90.00 90.00
Last column: nearest neighbours and their distance in Å.
Positions (direct):
Li 0.1169 0.3831 0.0000  6 Cd 2.66-2.81
Li 0.3831 0.8831 0.0000  6 Cd 2.66-2.81
Li 0.6169 0.1169 0.0000  6 Cd 2.66-2.81
Li 0.8831 0.6169 0.0000  6 Cd 2.66-2.81
Sm 0.1808 0.6808 0.0000  3 Li 3.03-3.22, 2 Cd 3.37
Sm 0.3192 0.1808 0.0000  3 Li 3.03-3.22, 2 Cd 3.37
Sm 0.6808 0.8192 0.0000  3 Li 3.03-3.22, 2 Cd 3.37
Sm 0.8192 0.3192 0.0000  3 Li 3.03-3.22, 2 Cd 3.37
Mg 0.0000 0.0000 0.0000  8 Cd 3.03
Mg 0.5000 0.5000 0.0000  8 Cd 3.03
Cd 0.0000 0.5000 0.5000  4 Li 2.66
Cd 0.0588 0.2069 0.5000  2 Li 2.81, 2 Mg 3.03
Cd 0.2069 0.9412 0.5000  2 Li 2.81, 2 Mg 3.03
Cd 0.2931 0.4412 0.5000  2 Li 2.81, 2 Mg 3.03
Cd 0.4412 0.7069 0.5000  2 Li 2.81, 2 Mg 3.03
Cd 0.5000 0.0000 0.5000  4 Li 2.66
Cd 0.5588 0.2931 0.5000  2 Li 2.81, 2 Mg 3.03
Cd 0.7069 0.5588 0.5000  2 Li 2.81, 2 Mg 3.03
Cd 0.7931 0.0588 0.5000  2 Li 2.81, 2 Mg 3.03
Cd 0.9412 0.7931 0.5000  2 Li 2.81, 2 Mg 3.03

Results
Energy of formation from the pure elements ... -247 meV/atom
Total energy ... -2.191 eV per atom

---

2.
Entry from Alexandria: a relaxed structure of In4Rh3 (PBE-GGA).

a b c (Å): 7.8002 7.8002 7.8002
angles (deg): 33.95 33.95 33.95
Last column: nearest neighbours and their distance in Å.
Positions (direct):
In 0.1200 0.1200 0.1200  7 Rh 2.73-2.82
In 0.3714 0.3714 0.3714  5 Rh 2.75-2.84
In 0.6286 0.6286 0.6286  5 Rh 2.75-2.84
In 0.8800 0.8800 0.8800  7 Rh 2.73-2.82
Rh 0.2465 0.2465 0.2465  8 In 2.73-2.84
Rh 0.5000 0.5000 0.5000  8 In 2.82-2.83
Rh 0.7535 0.7535 0.7535  8 In 2.73-2.84

Results
E above lowest polymorph ... 0.00 eV per formula unit
Energy of formation from the pure elements ... -387 meV/atom
Total energy ... -5.103 eV per atom

---

3.
Entry from Alexandria: a relaxed structure of FePdC2Se (PBE-GGA).

a b c (Å): 3.8375 3.8375 5.6170
angles (deg): 90.00 90.00 90.00
Last column: nearest neighbours and their distance in Å.
Positions (direct):
Fe 0.0000 0.0000 0.0000  4 Se 2.71, 2 Pd 2.81
Pd 0.0000 0.0000 0.5000  4 C 1.92
C 0.0000 0.5000 0.5000  2 Pd 1.92
C 0.5000 0.0000 0.5000  2 Pd 1.92
Se 0.5000 0.5000 0.0000  4 Fe 2.71

Results
Total energy ... -5.290 eV per atom
Raw formation energy ... 1.83 eV/atom